Entry from Alexandria via LeMat-Bulk: a relaxed CsIn2WF8 crystal (GGA+U).

Crystal system: triclinic
Theoretical density in Mg/m³: 4.90
E_tot in eV/atom: -4.774

Cell: 5.3647 6.0410 7.3428 Å, 93.79 93.66 91.60°
Last column: nearest neighbours and their distance in Å.
Positions (direct):
Cs 0.0000 0.0000 0.0000  8 F 2.97-3.04
In 0.4832 0.4940 0.7383  3 F 2.26-2.32
In 0.5168 0.5060 0.2617  3 F 2.26-2.32
W 0.0000 0.0000 0.5000  6 F 1.98-2.09
F 0.1348 0.2574 0.6876  1 W 2.09, 1 In 2.32
F 0.1470 0.7637 0.6496  1 W 2.01
F 0.3015 0.0182 0.3587  1 W 1.98
F 0.4456 0.7006 0.0021  2 In 2.26-2.32, 1 F 2.51
F 0.5544 0.2994 0.9979  2 In 2.26-2.32, 1 F 2.51
F 0.6985 0.9818 0.6413  1 W 1.98
F 0.8530 0.2363 0.3504  1 W 2.01
F 0.8652 0.7426 0.3124  1 W 2.09, 1 In 2.32